--- a ---
The following is a DFT calculation (GGA-PBE) of a relaxed structure of La2CoNi.

Cell lengths 4.0292, 3.9325, 5.9916 Å; angles 70.87, 90.00, 90.00 degrees
Fractional coordinates of all 4 atoms:
1 Co 0.5000 0.5507 0.7739
2 Ni 0.0000 0.6957 0.4830
3 La 0.5000 0.2622 0.3503
4 La 0.0000 0.9913 0.8928



--- b ---
The following is a DFT calculation (GGA-PBE) of a relaxed structure of La2CoNi.

Cell lengths 3.5111, 3.5078, 7.9017 Å; angles 63.24, 90.00, 90.00 degrees
Fractional coordinates of all 4 atoms:
1 La 0.0000 0.4888 0.5069
2 La 0.0000 0.0112 0.9931
3 Ni 0.5000 0.2500 0.2500
4 Co 0.5000 0.7500 0.7500



Unit: meV per atom. Relative energies: a 0; b 87.